Density functional theory data (PBE-GGA) for a geometry-optimized Er2TmSi2Rh5 structure.

V	345.0	Å³/cell
raw formation energy	-1037	meV/atom

The structure in CIF format:
```
data_Er2TmSi2Rh5
_symmetry_space_group_name_H-M 'P 4/m b m'
_symmetry_Int_Tables_number 127
_symmetry_space_group_name_Hall '-P 4 2ab'
_cell_length_a 9.900
_cell_length_b 9.900
_cell_length_c 3.520
_cell_angle_alpha 90.00
_cell_angle_beta 90.00
_cell_angle_gamma 90.00
loop_
_atom_site_label
_atom_site_fract_x
_atom_site_fract_y
_atom_site_fract_z
Er1 0.174 0.326 0.000
Tm1 0.000 0.000 0.000
Si1 0.123 0.623 0.000
Rh1 0.000 0.500 0.500
Rh2 0.070 0.780 0.500
```

=====

Density functional theory data (PBE-GGA) for a geometry-optimized ErTmSiRh structure.

V	324.4	Å³/cell
distance to the lowest polymorph of the same formula	0.67	eV/f.u.
raw formation energy	-705	meV/atom

The structure in CIF format:
```
data_ErTmSiRh
_symmetry_space_group_name_H-M 'F -4 3 m'
_symmetry_Int_Tables_number 216
_symmetry_space_group_name_Hall 'F -4 2 3'
_cell_length_a 6.871
_cell_length_b 6.871
_cell_length_c 6.871
_cell_angle_alpha 90.00
_cell_angle_beta 90.00
_cell_angle_gamma 90.00
loop_
_atom_site_label
_atom_site_fract_x
_atom_site_fract_y
_atom_site_fract_z
Er1 0.000 0.000 0.000
Tm1 0.000 0.000 0.500
Si1 0.250 0.250 0.250
Rh1 0.250 0.250 0.750
```

=====

Density functional theory data (PBE-GGA) for a geometry-optimized ErTmSiRh structure.

V	169.4	Å³/cell
distance to the lowest polymorph of the same formula	0.00	eV/f.u.
raw formation energy	-873	meV/atom

The structure in CIF format:
```
data_ErTmSiRh
_symmetry_space_group_name_H-M 'A m m 2'
_symmetry_Int_Tables_number 38
_symmetry_space_group_name_Hall 'A 2 -2'
_cell_length_a 3.978
_cell_length_b 4.082
_cell_length_c 10.430
_cell_angle_alpha 90.00
_cell_angle_beta 90.00
_cell_angle_gamma 90.00
loop_
_atom_site_label
_atom_site_fract_x
_atom_site_fract_y
_atom_site_fract_z
Er1 0.000 0.000 0.000
Tm1 0.500 0.000 0.718
Si1 0.000 0.000 0.288
Rh1 0.500 0.000 0.436
```

=====

Density functional theory data (PBE-GGA) for a geometry-optimized Er2VSi2Rh5 structure.

V	322.1	Å³/cell
raw formation energy	-820	meV/atom

The structure in CIF format:
```
data_Er2VSi2Rh5
_symmetry_space_group_name_H-M 'P 4/m b m'
_symmetry_Int_Tables_number 127
_symmetry_space_group_name_Hall '-P 4 2ab'
_cell_length_a 9.572
_cell_length_b 9.572
_cell_length_c 3.515
_cell_angle_alpha 90.00
_cell_angle_beta 90.00
_cell_angle_gamma 90.00
loop_
_atom_site_label
_atom_site_fract_x
_atom_site_fract_y
_atom_site_fract_z
Er1 0.174 0.326 0.000
V1 0.000 0.000 0.000
Si1 0.124 0.624 0.000
Rh1 0.000 0.500 0.500
Rh2 0.068 0.793 0.500
```

=====

Density functional theory data (PBE-GGA) for a geometry-optimized YErSiRh structure.

V	173.3	Å³/cell
raw formation energy	-865	meV/atom

The structure in CIF format:
```
data_YErSiRh
_symmetry_space_group_name_H-M 'A m m 2'
_symmetry_Int_Tables_number 38
_symmetry_space_group_name_Hall 'A 2 -2'
_cell_length_a 3.972
_cell_length_b 4.123
_cell_length_c 10.581
_cell_angle_alpha 90.00
_cell_angle_beta 90.00
_cell_angle_gamma 90.00
loop_
_atom_site_label
_atom_site_fract_x
_atom_site_fract_y
_atom_site_fract_z
Y1 0.000 0.000 0.000
Er1 0.500 0.000 0.282
Si1 0.500 0.000 0.574
Rh1 0.000 0.000 0.719
```

=====

Density functional theory data (PBE-GGA) for a geometry-optimized YEr2Si2Rh5 structure.

V	349.3	Å³/cell
raw formation energy	-1010	meV/atom

The structure in CIF format:
```
data_YEr2Si2Rh5
_symmetry_space_group_name_H-M 'P 4/m b m'
_symmetry_Int_Tables_number 127
_symmetry_space_group_name_Hall '-P 4 2ab'
_cell_length_a 9.939
_cell_length_b 9.939
_cell_length_c 3.536
_cell_angle_alpha 90.00
_cell_angle_beta 90.00
_cell_angle_gamma 90.00
loop_
_atom_site_label
_atom_site_fract_x
_atom_site_fract_y
_atom_site_fract_z
Y1 0.000 0.000 0.000
Er1 0.174 0.326 0.000
Si1 0.123 0.623 0.000
Rh1 0.000 0.500 0.500
Rh2 0.070 0.778 0.500
```

=====

Density functional theory data (PBE-GGA) for a geometry-optimized SmEr2Rh2 structure.

V	241.3	Å³/cell
distance to the lowest polymorph of the same formula	0.20	eV/f.u.
E_form	-0.5898	eV/atom

The structure in CIF format:
```
data_SmEr2Rh2
_symmetry_space_group_name_H-M 'C 1 2/m 1'
_symmetry_Int_Tables_number 12
_symmetry_space_group_name_Hall '-C 2y'
_cell_length_a 6.336
_cell_length_b 6.331
_cell_length_c 6.592
_cell_angle_alpha 90.00
_cell_angle_beta 114.16
_cell_angle_gamma 90.00
loop_
_atom_site_label
_atom_site_fract_x
_atom_site_fract_y
_atom_site_fract_z
Sm1 0.000 0.000 0.000
Er1 0.000 0.253 0.500
Rh1 0.133 0.500 0.213
```

=====

Density functional theory data (PBE-GGA) for a geometry-optimized Sm3Er2Rh2 structure.

V	376.2	Å³/cell
E_form	-0.5308	eV/atom

The structure in CIF format:
```
data_Sm3Er2Rh2
_symmetry_space_group_name_H-M 'C 1 2/m 1'
_symmetry_Int_Tables_number 12
_symmetry_space_group_name_Hall '-C 2y'
_cell_length_a 12.116
_cell_length_b 3.855
_cell_length_c 8.923
_cell_angle_alpha 90.00
_cell_angle_beta 115.51
_cell_angle_gamma 90.00
loop_
_atom_site_label
_atom_site_fract_x
_atom_site_fract_y
_atom_site_fract_z
Sm1 0.000 0.000 0.000
Sm2 0.114 0.000 0.428
Er1 0.170 0.500 0.812
Rh1 0.184 0.500 0.240
```

=====

Density functional theory data (PBE-GGA) for a geometry-optimized Sm2ErRh4 structure.

V	449.6	Å³/cell
E_form	-0.4805	eV/atom

The structure in CIF format:
```
data_Sm2ErRh4
_symmetry_space_group_name_H-M 'R -3 m'
_symmetry_Int_Tables_number 166
_symmetry_space_group_name_Hall '-R 3 2"'
_cell_length_a 4.7091
_cell_length_b 4.7091
_cell_length_c 23.4100
_cell_angle_alpha 90.00
_cell_angle_beta 90.00
_cell_angle_gamma 120.00
loop_
_atom_site_label
_atom_site_fract_x
_atom_site_fract_y
_atom_site_fract_z
Sm1 0.0000 0.0000 0.2388
Er1 0.0000 0.0000 0.0000
Rh1 0.0000 0.0000 0.1185
Rh2 0.0000 0.0000 0.3734
```

=====

Density functional theory data (PBE-GGA) for a geometry-optimized Sm2ErRh structure.

V	483.9	Å³/cell
distance to the lowest polymorph of the same formula	0.41	eV/f.u.
E_form	-0.3813	eV/atom

The structure in CIF format:
```
data_Sm2ErRh
_symmetry_space_group_name_H-M 'P n n a'
_symmetry_Int_Tables_number 52
_symmetry_space_group_name_Hall '-P 2a 2bc'
_cell_length_a 6.663
_cell_length_b 6.365
_cell_length_c 11.410
_cell_angle_alpha 90.00
_cell_angle_beta 90.00
_cell_angle_gamma 90.00
loop_
_atom_site_label
_atom_site_fract_x
_atom_site_fract_y
_atom_site_fract_z
Sm1 0.090 0.245 0.088
Er1 0.070 0.250 0.750
Rh1 0.250 0.000 0.589
```

=====

Density functional theory data (PBE-GGA) for a geometry-optimized Sm2ErRh3 structure.

V	124.9	Å³/cell
distance to the lowest polymorph of the same formula	0.02	eV/f.u.
E_form	-0.7839	eV/atom

The structure in CIF format:
```
data_Sm2ErRh3
_symmetry_space_group_name_H-M 'P 4/m m m'
_symmetry_Int_Tables_number 123
_symmetry_space_group_name_Hall '-P 4 2'
_cell_length_a 3.459
_cell_length_b 3.459
_cell_length_c 10.438
_cell_angle_alpha 90.00
_cell_angle_beta 90.00
_cell_angle_gamma 90.00
loop_
_atom_site_label
_atom_site_fract_x
_atom_site_fract_y
_atom_site_fract_z
Sm1 0.000 0.000 0.169
Er1 0.000 0.000 0.500
Rh1 0.500 0.500 0.000
Rh2 0.500 0.500 0.342
```

=====

Density functional theory data (PBE-GGA) for a geometry-optimized SmErRh structure.

V	152.6	Å³/cell
distance to the lowest polymorph of the same formula	0.08	eV/f.u.
E_form	-0.5265	eV/atom

The structure in CIF format:
```
data_SmErRh
_symmetry_space_group_name_H-M 'I 4 m m'
_symmetry_Int_Tables_number 107
_symmetry_space_group_name_Hall 'I 4 -2'
_cell_length_a 3.472
_cell_length_b 3.472
_cell_length_c 12.657
_cell_angle_alpha 90.00
_cell_angle_beta 90.00
_cell_angle_gamma 90.00
loop_
_atom_site_label
_atom_site_fract_x
_atom_site_fract_y
_atom_site_fract_z
Sm1 0.000 0.000 0.000
Er1 0.000 0.000 0.738
Rh1 0.000 0.000 0.361
```

=====

Density functional theory data (PBE-GGA) for a geometry-optimized SmErRh structure.

V	87.5	Å³/cell
distance to the lowest polymorph of the same formula	0.19	eV/f.u.
E_form	-0.4918	eV/atom

The structure in CIF format:
```
data_SmErRh
_symmetry_space_group_name_H-M 'P 3 m 1'
_symmetry_Int_Tables_number 156
_symmetry_space_group_name_Hall 'P 3 -2"'
_cell_length_a 4.0316
_cell_length_b 4.0316
_cell_length_c 6.2190
_cell_angle_alpha 90.00
_cell_angle_beta 90.00
_cell_angle_gamma 120.00
loop_
_atom_site_label
_atom_site_fract_x
_atom_site_fract_y
_atom_site_fract_z
Sm1 0.0000 0.0000 0.0000
Er1 0.3333 0.6667 0.5209
Rh1 0.6667 0.3333 0.7501
```

=====

Density functional theory data (PBE-GGA) for a geometry-optimized SmEr2Rh3 structure.

V	121.1	Å³/cell
E_form	-0.8577	eV/atom

The structure in CIF format:
```
data_SmEr2Rh3
_symmetry_space_group_name_H-M 'P 4/m m m'
_symmetry_Int_Tables_number 123
_symmetry_space_group_name_Hall '-P 4 2'
_cell_length_a 3.426
_cell_length_b 3.426
_cell_length_c 10.316
_cell_angle_alpha 90.00
_cell_angle_beta 90.00
_cell_angle_gamma 90.00
loop_
_atom_site_label
_atom_site_fract_x
_atom_site_fract_y
_atom_site_fract_z
Sm1 0.000 0.000 0.000
Er1 0.000 0.000 0.336
Rh1 0.500 0.500 0.176
Rh2 0.500 0.500 0.500
```

=====

Density functional theory data (PBE-GGA) for a geometry-optimized SmErRh structure.

V	160.6	Å³/cell
distance to the lowest polymorph of the same formula	0.00	eV/f.u.
E_form	-0.5546	eV/atom

The structure in CIF format:
```
data_SmErRh
_symmetry_space_group_name_H-M 'P 1 21/m 1'
_symmetry_Int_Tables_number 11
_symmetry_space_group_name_Hall '-P 2yb'
_cell_length_a 5.735
_cell_length_b 4.503
_cell_length_c 6.494
_cell_angle_alpha 90.00
_cell_angle_beta 106.75
_cell_angle_gamma 90.00
loop_
_atom_site_label
_atom_site_fract_x
_atom_site_fract_y
_atom_site_fract_z
Sm1 0.072 0.250 0.286
Er1 0.476 0.250 0.800
Rh1 0.343 0.750 0.556
```

=====

Density functional theory data (PBE-GGA) for a geometry-optimized Sm3Er4Rh4 structure.

V	532.8	Å³/cell
E_form	-0.6329	eV/atom

The structure in CIF format:
```
data_Sm3Er4Rh4
_symmetry_space_group_name_H-M 'I m m m'
_symmetry_Int_Tables_number 71
_symmetry_space_group_name_Hall '-I 2 2'
_cell_length_a 3.821
_cell_length_b 8.817
_cell_length_c 15.814
_cell_angle_alpha 90.00
_cell_angle_beta 90.00
_cell_angle_gamma 90.00
loop_
_atom_site_label
_atom_site_fract_x
_atom_site_fract_y
_atom_site_fract_z
Sm1 0.000 0.000 0.000
Sm2 0.000 0.500 0.103
Er1 0.000 0.312 0.333
Rh1 0.000 0.000 0.245
Rh2 0.000 0.217 0.500
```

=====

Density functional theory data (PBE-GGA) for a geometry-optimized Sm2Er2Rh3 structure.

V	177.1	Å³/cell
distance to the lowest polymorph of the same formula	0.76	eV/f.u.
E_form	-0.6558	eV/atom

The structure in CIF format:
```
data_Sm2Er2Rh3
_symmetry_space_group_name_H-M 'P -1'
_symmetry_Int_Tables_number 2
_symmetry_space_group_name_Hall '-P 1'
_cell_length_a 4.384
_cell_length_b 5.933
_cell_length_c 7.441
_cell_angle_alpha 80.56
_cell_angle_beta 89.94
_cell_angle_gamma 68.32
loop_
_atom_site_label
_atom_site_fract_x
_atom_site_fract_y
_atom_site_fract_z
Sm1 0.132 0.235 0.355
Er1 0.362 0.776 0.071
Rh1 0.000 0.500 0.000
Rh2 0.194 0.113 0.734
```

=====

Density functional theory data (PBE-GGA) for a geometry-optimized SmEr4Rh structure.

V	749.3	Å³/cell
E_form	-0.1986	eV/atom

The structure in CIF format:
```
data_SmEr4Rh
_symmetry_space_group_name_H-M 'C m c 21'
_symmetry_Int_Tables_number 36
_symmetry_space_group_name_Hall 'C 2c -2'
_cell_length_a 5.511
_cell_length_b 18.324
_cell_length_c 7.420
_cell_angle_alpha 90.00
_cell_angle_beta 90.00
_cell_angle_gamma 90.00
loop_
_atom_site_label
_atom_site_fract_x
_atom_site_fract_y
_atom_site_fract_z
Sm1 0.000 0.118 0.000
Er1 0.000 0.119 0.500
Er2 0.000 0.297 0.254
Er3 0.000 0.297 0.747
Er4 0.000 0.500 0.249
Rh1 0.000 0.399 0.000
```

=====

Density functional theory data (PBE-GGA) for a geometry-optimized SmErRh structure.

V	306.4	Å³/cell
distance to the lowest polymorph of the same formula	0.01	eV/f.u.
E_form	-0.5523	eV/atom

The structure in CIF format:
```
data_SmErRh
_symmetry_space_group_name_H-M 'P 1 21/c 1'
_symmetry_Int_Tables_number 14
_symmetry_space_group_name_Hall '-P 2ybc'
_cell_length_a 3.615
_cell_length_b 13.461
_cell_length_c 6.598
_cell_angle_alpha 90.00
_cell_angle_beta 107.40
_cell_angle_gamma 90.00
loop_
_atom_site_label
_atom_site_fract_x
_atom_site_fract_y
_atom_site_fract_z
Sm1 0.138 0.047 0.257
Er1 0.231 0.714 0.848
Rh1 0.436 0.112 0.913
```

=====

Density functional theory data (PBE-GGA) for a geometry-optimized SmEr4Rh5 structure.

V	199.2	Å³/cell
E_form	-0.8839	eV/atom

The structure in CIF format:
```
data_SmEr4Rh5
_symmetry_space_group_name_H-M 'P 4/m m m'
_symmetry_Int_Tables_number 123
_symmetry_space_group_name_Hall '-P 4 2'
_cell_length_a 3.377
_cell_length_b 3.377
_cell_length_c 17.463
_cell_angle_alpha 90.00
_cell_angle_beta 90.00
_cell_angle_gamma 90.00
loop_
_atom_site_label
_atom_site_fract_x
_atom_site_fract_y
_atom_site_fract_z
Sm1 0.000 0.000 0.000
Er1 0.000 0.000 0.204
Er2 0.000 0.000 0.401
Rh1 0.500 0.500 0.107
Rh2 0.500 0.500 0.303
Rh3 0.500 0.500 0.500
```

=====

Density functional theory data (PBE-GGA) for a geometry-optimized SmEr3Rh4 structure.

V	160.1	Å³/cell
E_form	-0.8742	eV/atom

The structure in CIF format:
```
data_SmEr3Rh4
_symmetry_space_group_name_H-M 'P 4/m m m'
_symmetry_Int_Tables_number 123
_symmetry_space_group_name_Hall '-P 4 2'
_cell_length_a 4.864
_cell_length_b 4.864
_cell_length_c 6.768
_cell_angle_alpha 90.00
_cell_angle_beta 90.00
_cell_angle_gamma 90.00
loop_
_atom_site_label
_atom_site_fract_x
_atom_site_fract_y
_atom_site_fract_z
Sm1 0.000 0.000 0.000
Er1 0.000 0.000 0.500
Er2 0.500 0.500 0.000
Er3 0.500 0.500 0.500
Rh1 0.000 0.500 0.255
```

=====

Density functional theory data (PBE-GGA) for a geometry-optimized Sm2ErRh3 structure.

V	124.8	Å³/cell
distance to the lowest polymorph of the same formula	0.00	eV/f.u.
E_form	-0.7867	eV/atom

The structure in CIF format:
```
data_Sm2ErRh3
_symmetry_space_group_name_H-M 'P -3 m 1'
_symmetry_Int_Tables_number 164
_symmetry_space_group_name_Hall '-P 3 2"'
_cell_length_a 4.8995
_cell_length_b 4.8995
_cell_length_c 6.0013
_cell_angle_alpha 90.00
_cell_angle_beta 90.00
_cell_angle_gamma 120.00
loop_
_atom_site_label
_atom_site_fract_x
_atom_site_fract_y
_atom_site_fract_z
Sm1 0.3333 0.6667 0.1686
Er1 0.0000 0.0000 0.5000
Rh1 0.0000 0.0000 0.0000
Rh2 0.3333 0.6667 0.6594
```

=====

Density functional theory data (PBE-GGA) for a geometry-optimized Sm2ErRh structure.

V	109.9	Å³/cell
distance to the lowest polymorph of the same formula	0.72	eV/f.u.
E_form	-0.3026	eV/atom

The structure in CIF format:
```
data_Sm2ErRh
_symmetry_space_group_name_H-M 'P 4/m m m'
_symmetry_Int_Tables_number 123
_symmetry_space_group_name_Hall '-P 4 2'
_cell_length_a 3.570
_cell_length_b 3.570
_cell_length_c 8.626
_cell_angle_alpha 90.00
_cell_angle_beta 90.00
_cell_angle_gamma 90.00
loop_
_atom_site_label
_atom_site_fract_x
_atom_site_fract_y
_atom_site_fract_z
Sm1 0.000 0.000 0.192
Er1 0.500 0.500 0.500
Rh1 0.500 0.500 0.000
```